[1]
Compound: CsLaZnO3
Source: Alexandria via LeMat-Bulk
Functional: GGA-PBE
Structure: relaxed

## Properties
Space-group type = P2_1/m (11)
Total DFT energy (no corrections) = -5.835 eV per atom
E_form (uncorrected) = -2.180 eV/atom
Spin magnetization = 0.000 μB/atom

Cell and atoms, written as POSCAR:
```
CsLaZnO3
1.0
3.759 0.000 0.000
0.000 8.488 -0.027
0.000 -2.270 8.161
O Cs Zn La
6 2 2 2
Cartesian
0.940 2.565 7.085
2.819 0.028 4.404
0.940 -0.563 6.914
0.940 6.190 3.730
2.819 3.653 1.049
2.819 6.781 1.220
2.819 5.059 6.374
0.940 1.159 1.760
0.940 -0.739 5.001
2.819 6.957 3.133
2.819 1.035 6.888
0.940 5.183 1.246
```

***

[2]
Compound: NaCdBiF6
Source: Alexandria via LeMat-Bulk
Functional: GGA-PBE
Structure: relaxed

## Properties
Space-group type = P-31c (163)
Total DFT energy (no corrections) = -4.334 eV per atom
E_form (uncorrected) = -2.407 eV/atom
Spin magnetization = 0.000 μB/atom

Cell and atoms, written as POSCAR:
```
NaCdBiF6
1.0
-5.580 -1.940 -1.423
4.687 -1.292 -3.645
1.533 -7.911 4.775
Bi F Cd Na
2 12 2 2
Cartesian
2.414 -7.441 0.677
-1.774 -3.702 -0.970
-0.377 -3.144 -2.699
0.373 -7.101 -0.308
1.597 -5.485 -2.803
0.268 -4.041 0.016
-1.171 -9.663 0.350
1.811 -1.479 -0.642
3.631 -3.777 -0.626
2.957 -2.986 -3.507
-2.991 -7.365 0.333
1.017 -7.998 2.407
-0.957 -5.657 2.510
-2.317 -8.156 3.215
-1.008 -7.657 1.418
1.648 -3.485 -1.710
0.766 -3.955 2.387
0.000 0.000 0.000
```